(1)
ScBeIn2 | PBE-GGA | optimized geometry

E_tot: -3.80 eV per atom
space group: P4mm (99)
volume: 82 Å³ per cell

Cell: 3.229 3.229 7.882 Å, 90.00 90.00 90.00°
Element x y z (fractional)
1 Sc 0.000 0.000 0.549
2 Be 0.500 0.500 0.745
3 In 0.000 0.000 0.948
4 In 0.500 0.500 0.259


(2)
Cu2Ag3Cl6 | PBE-GGA | optimized geometry

E_form (uncorrected): -0.41 eV/atom
E_tot: -2.94 eV per atom
space group: R-3m (166)
volume: 236 Å³ per cell

Cell: 3.778 3.778 19.196 Å, 84.35 84.35 60.00°
Element x y z (fractional)
1 Cl 0.637 0.637 0.090
2 Cl 0.911 0.911 0.268
3 Cl 0.363 0.363 0.910
4 Cl 0.196 0.196 0.411
5 Cl 0.089 0.089 0.732
6 Cl 0.804 0.804 0.589
7 Ag 0.000 0.000 0.000
8 Ag 0.728 0.728 0.817
9 Ag 0.272 0.272 0.183
10 Cu 0.544 0.544 0.367
11 Cu 0.456 0.456 0.633


(3)
Ag2POs | PBE-GGA | optimized geometry

E_tot: -4.96 eV per atom
space group: Pmmm (47)
volume: 63 Å³ per cell

Cell: 3.049 4.213 4.903 Å, 90.00 90.00 90.00°
Element x y z (fractional)
1 Ag 0.000 0.000 0.000
2 Ag 0.500 0.500 0.000
3 Os 0.500 0.000 0.500
4 P 0.000 0.500 0.500


(4)
SrLaHgN2 | PBE-GGA | optimized geometry

E_form (uncorrected): 0.31 eV/atom
E_tot: -4.40 eV per atom
space group: P4/mmm (123)
volume: 127 Å³ per cell

Cell: 4.631 5.927 4.631 Å, 90.00 90.00 90.00°
Element x y z (fractional)
1 Sr 0.500 0.500 0.500
2 La 0.000 0.000 0.000
3 N 0.000 0.000 0.500
4 N 0.500 0.000 0.000
5 Hg 0.000 0.500 0.000


(5)
Cs3Nb2Se11 | PBE-GGA | optimized geometry

E_form (uncorrected): -0.80 eV/atom
E_tot: -4.61 eV per atom
space group: P2_1/c (14)
volume: 2280 Å³ per cell

Cell: 8.693 12.846 20.964 Å, 103.10 90.00 90.00°
Element x y z (fractional)
1 Se 0.247 0.102 0.349
2 Se 0.275 0.257 0.609
3 Se 0.996 0.259 0.952
4 Se 0.883 0.797 0.718
5 Se 0.637 0.002 0.010
6 Se 0.223 0.467 0.814
7 Se 0.725 0.743 0.391
8 Se 0.277 0.467 0.314
9 Se 0.546 0.239 0.971
10 Se 0.424 0.766 0.729
11 Se 0.352 0.367 0.958
12 Se 0.777 0.533 0.186
13 Se 0.852 0.633 0.542
14 Se 0.046 0.761 0.529
15 Se 0.484 0.073 0.457
16 Se 0.225 0.257 0.109
17 Se 0.576 0.234 0.271
18 Se 0.984 0.927 0.043
19 Se 0.775 0.743 0.891
20 Se 0.076 0.766 0.229
21 Se 0.929 0.519 0.091
22 Se 0.071 0.481 0.909
23 Se 0.016 0.073 0.957
24 Se 0.429 0.481 0.409
25 Se 0.753 0.898 0.651
26 Se 0.747 0.898 0.151
27 Se 0.617 0.797 0.218
28 Se 0.383 0.203 0.782
29 Se 0.924 0.234 0.771
30 Se 0.137 0.998 0.490
31 Se 0.117 0.203 0.282
32 Se 0.504 0.259 0.452
33 Se 0.496 0.741 0.548
34 Se 0.648 0.633 0.042
35 Se 0.571 0.519 0.591
36 Se 0.954 0.239 0.471
37 Se 0.723 0.533 0.686
38 Se 0.004 0.741 0.048
39 Se 0.363 0.998 0.990
40 Se 0.454 0.761 0.029
41 Se 0.863 0.002 0.510
42 Se 0.516 0.927 0.543
43 Se 0.148 0.367 0.458
44 Se 0.253 0.102 0.849
45 Nb 0.637 0.714 0.658
46 Nb 0.736 0.805 0.005
47 Nb 0.264 0.195 0.995
48 Nb 0.236 0.195 0.495
49 Nb 0.764 0.805 0.505
50 Nb 0.363 0.286 0.342
51 Nb 0.863 0.714 0.158
52 Nb 0.137 0.286 0.842
53 Cs 0.346 0.541 0.138
54 Cs 0.301 0.763 0.382
55 Cs 0.154 0.541 0.638
56 Cs 0.199 0.763 0.882
57 Cs 0.654 0.459 0.862
58 Cs 0.801 0.237 0.118
59 Cs 0.831 0.000 0.336
60 Cs 0.669 0.000 0.836
61 Cs 0.169 0.000 0.664
62 Cs 0.331 0.000 0.164
63 Cs 0.846 0.459 0.362
64 Cs 0.699 0.237 0.618


(6)
BaNaP2 | PBE-GGA | optimized geometry

E_tot: -3.69 eV per atom
space group: Fm-3m (225)
volume: 104 Å³ per cell

Cell: 5.280 5.280 5.280 Å, 60.00 60.00 60.00°
Element x y z (fractional)
1 P 0.750 0.750 0.750
2 P 0.250 0.250 0.250
3 Ba 0.500 0.500 0.500
4 Na 0.000 0.000 0.000


(7)
MgIr2BrCl | PBE-GGA | optimized geometry

E_form (uncorrected): 1.00 eV/atom
E_tot: -3.57 eV per atom
space group: P4/mmm (123)
volume: 114 Å³ per cell

Cell: 4.335 6.066 4.335 Å, 90.00 90.00 90.00°
Element x y z (fractional)
1 Cl 0.000 0.000 0.000
2 Br 0.500 0.500 0.500
3 Ir 0.500 0.000 0.000
4 Ir 0.000 0.000 0.500
5 Mg 0.000 0.500 0.000


(8)
LiZn2Pd5 | PBE-GGA | optimized geometry

E_tot: -4.24 eV per atom
space group: I4mm (107)
volume: 117 Å³ per cell

Cell: 5.333 5.333 5.333 Å, 109.94 109.94 108.55°
Element x y z (fractional)
1 Pd 0.778 0.278 0.000
2 Pd 0.278 0.778 0.000
3 Pd 0.778 0.778 0.500
4 Pd 0.278 0.278 0.500
5 Pd 0.278 0.278 0.000
6 Zn 0.278 0.778 0.500
7 Zn 0.778 0.278 0.500
8 Li 0.777 0.777 0.000


(9)
YRu2Pt | PBE-GGA | optimized geometry

E_tot: -7.71 eV per atom
space group: I-42d (122)
volume: 158 Å³ per cell

Cell: 4.037 4.037 10.105 Å, 78.48 78.48 90.00°
Element x y z (fractional)
1 Pt 0.750 0.250 0.500
2 Pt 0.000 0.000 0.000
3 Ru 0.035 0.625 0.250
4 Ru 0.375 0.285 0.750
5 Ru 0.715 0.125 0.250
6 Ru 0.875 0.965 0.750
7 Y 0.250 0.750 0.500
8 Y 0.500 0.500 0.000


(10)
Sb2OsRu | PBE-GGA | optimized geometry

E_form (uncorrected): 0.28 eV/atom
E_tot: -6.91 eV per atom
space group: Pmm2 (25)
volume: 72 Å³ per cell

Cell: 4.988 3.218 4.505 Å, 89.99 90.00 90.00°
Element x y z (fractional)
1 Sb 0.000 0.875 0.988
2 Sb 0.500 0.375 0.261
3 Ru 0.500 0.875 0.752
4 Os 0.000 0.375 0.499


(11)
AlCoW | PBE-GGA | optimized geometry

E_tot: -7.99 eV per atom
space group: P3m1 (156)
volume: 41 Å³ per cell

Cell: 4.156 4.156 2.714 Å, 90.00 90.00 120.00°
Element x y z (fractional)
1 W 0.333 0.667 0.665
2 Co 0.667 0.333 0.171
3 Al 0.000 0.000 0.164


(12)
NpIn5Rh6 | PBE-GGA | optimized geometry

E_tot: -6.30 eV per atom
space group: Cmmm (65)
volume: 210 Å³ per cell

Cell: 4.492 6.926 7.116 Å, 90.00 71.60 90.00°
Element x y z (fractional)
1 In 0.666 0.500 0.669
2 In 0.670 0.000 0.659
3 In 0.330 0.000 0.341
4 In 0.000 0.500 0.000
5 In 0.334 0.500 0.331
6 Rh 0.167 0.255 0.666
7 Rh 0.167 0.745 0.666
8 Rh 0.500 0.252 0.000
9 Rh 0.833 0.745 0.334
10 Rh 0.500 0.748 0.000
11 Rh 0.833 0.255 0.334
12 Np 0.000 0.000 0.000


(13)
PmDy12Tm3 | PBE-GGA | optimized geometry

E_tot: -4.57 eV per atom
space group: P4/mmm (123)
volume: 501 Å³ per cell

Cell: 5.005 5.005 20.000 Å, 90.00 90.00 90.00°
Element x y z (fractional)
1 Tm 0.000 0.000 0.500
2 Tm 0.000 0.000 0.251
3 Tm 0.000 0.000 0.749
4 Dy 0.500 0.000 0.376
5 Dy 0.500 0.000 0.873
6 Dy 0.000 0.500 0.127
7 Dy 0.000 0.500 0.624
8 Dy 0.500 0.000 0.127
9 Dy 0.500 0.500 0.000
10 Dy 0.500 0.500 0.252
11 Dy 0.500 0.000 0.624
12 Dy 0.500 0.500 0.500
13 Dy 0.000 0.500 0.376
14 Dy 0.500 0.500 0.748
15 Dy 0.000 0.500 0.873
16 Pm 0.000 0.000 0.000


(14)
KScAl2 | PBE-GGA | optimized geometry

E_tot: -3.52 eV per atom
space group: Imm2 (44)
volume: 98 Å³ per cell

Cell: 6.538 6.538 6.538 Å, 152.85 129.17 58.58°
Element x y z (fractional)
1 Al 0.987 0.987 0.000
2 Al 0.787 0.287 0.500
3 Sc 0.212 0.712 0.500
4 K 0.514 0.514 0.000


(15)
SrTiGa2 | PBE-GGA | optimized geometry

E_tot: -3.74 eV per atom
space group: I-42d (122)
volume: 227 Å³ per cell

Cell: 5.023 5.023 9.666 Å, 74.94 74.94 90.00°
Element x y z (fractional)
1 Sr 0.000 0.000 0.000
2 Sr 0.750 0.250 0.500
3 Ga 0.274 0.625 0.250
4 Ga 0.875 0.726 0.750
5 Ga 0.476 0.125 0.250
6 Ga 0.375 0.524 0.750
7 Ti 0.250 0.750 0.500
8 Ti 0.500 0.500 0.000


(16)
BaBe2W | PBE-GGA | optimized geometry

E_tot: -3.89 eV per atom
space group: F-43m (216)
volume: 76 Å³ per cell

Cell: 4.764 4.764 4.764 Å, 60.00 60.00 60.00°
Element x y z (fractional)
1 W 0.750 0.750 0.750
2 Be 0.250 0.250 0.250
3 Be 0.000 0.000 0.000
4 Ba 0.500 0.500 0.500


(17)
LiTbCu2 | PBE-GGA | optimized geometry

E_tot: -3.81 eV per atom
space group: R-3m (166)
volume: 72 Å³ per cell

Cell: 4.278 4.278 5.162 Å, 65.52 65.52 60.00°
Element x y z (fractional)
1 Li 0.500 0.500 0.500
2 Tb 0.000 0.000 0.000
3 Cu 0.208 0.208 0.376
4 Cu 0.792 0.792 0.624


(18)
ScNbSbTe2 | PBE-GGA | optimized geometry

E_form (uncorrected): 0.33 eV/atom
E_tot: -5.03 eV per atom
space group: P4/mmm (123)
volume: 149 Å³ per cell

Cell: 5.307 5.308 5.307 Å, 90.00 90.00 90.00°
Element x y z (fractional)
1 Te 0.500 0.000 0.000
2 Te 0.000 0.000 0.500
3 Sb 0.500 0.500 0.500
4 Sc 0.000 0.500 0.000
5 Nb 0.000 0.000 0.000


(19)
Pu2Sc3TaN6 | PBE-GGA | optimized geometry

E_form (uncorrected): -1.54 eV/atom
E_tot: -10.66 eV per atom
space group: C2/m (12)
volume: 149 Å³ per cell

Cell: 5.695 5.695 5.633 Å, 99.68 99.68 119.97°
Element x y z (fractional)
1 Sc 0.836 0.164 0.500
2 Sc 0.500 0.500 0.500
3 Sc 0.164 0.836 0.500
4 N 0.768 0.768 0.253
5 N 0.600 0.916 0.749
6 N 0.232 0.232 0.747
7 N 0.916 0.600 0.749
8 N 0.084 0.400 0.251
9 N 0.400 0.084 0.251
10 Pu 0.333 0.667 0.000
11 Pu 0.667 0.333 0.000
12 Ta 0.000 0.000 0.000


(20)
CeInCu2 | PBE-GGA | optimized geometry

E_tot: -4.25 eV per atom
space group: P4/mmm (123)
volume: 75 Å³ per cell

Cell: 3.167 3.167 7.494 Å, 90.00 90.00 90.00°
Element x y z (fractional)
1 Cu 0.000 0.000 0.773
2 Cu 0.000 0.000 0.227
3 In 0.500 0.500 0.000
4 Ce 0.500 0.500 0.500


(21)
Nb3CuHg | PBE-GGA | optimized geometry

E_tot: -5.91 eV per atom
space group: Pm-3m (221)
volume: 103 Å³ per cell

Cell: 4.688 4.688 4.688 Å, 90.00 90.00 90.00°
Element x y z (fractional)
1 Nb 0.000 0.000 0.500
2 Nb 0.000 0.500 0.000
3 Nb 0.500 0.000 0.000
4 Hg 0.500 0.500 0.500
5 Cu 0.000 0.000 0.000


(22)
MgBeP | PBE-GGA | optimized geometry

E_tot: -3.15 eV per atom
space group: F-43m (216)
volume: 51 Å³ per cell

Cell: 4.153 4.153 4.153 Å, 60.00 60.00 60.00°
Element x y z (fractional)
1 P 0.000 0.000 0.000
2 Be 0.500 0.500 0.500
3 Mg 0.750 0.750 0.750


(23)
Ce2PmSnC | PBE-GGA | optimized geometry

E_tot: -6.44 eV per atom
space group: P4/mmm (123)
volume: 125 Å³ per cell

Cell: 5.123 4.942 4.942 Å, 90.00 90.00 90.00°
Element x y z (fractional)
1 Pm 0.500 0.000 0.000
2 Ce 0.000 0.000 0.500
3 Ce 0.000 0.500 0.000
4 C 0.000 0.000 0.000
5 Sn 0.500 0.500 0.500


(24)
ScCu2Ir | PBE-GGA | optimized geometry

E_tot: -6.26 eV per atom
space group: P4/mmm (123)
volume: 58 Å³ per cell

Cell: 3.809 3.812 3.990 Å, 90.00 90.00 90.00°
Element x y z (fractional)
1 Cu 0.000 0.000 0.000
2 Cu 0.500 0.500 0.000
3 Sc 0.000 0.500 0.500
4 Ir 0.500 0.000 0.500